(1)
Below is an optimized crystal structure of CaPr2Dy, with properties calculated at the GGA-PBE level.

Cell: 3.684 3.684 10.610 Å, 90.00 90.00 90.00°
Element x y z (fractional)
Ca  0.000  0.000  0.000
Pr  0.500  0.500  0.266
Pr  0.500  0.500  0.734
Dy  0.000  0.000  0.500

Computed properties:
Symmetry: P4/mmm, No. 123
Offset from the most stable computed form, meV per atom: 16
Magnetic moment, μB/f.u.: 0.000
Energy, eV/atom: -4.003


(2)
Below is an optimized crystal structure of CaPr3Dy6, with properties calculated at the GGA-PBE level.

Cell: 9.716 9.716 5.985 Å, 102.51 102.51 41.73°
Element x y z (fractional)
Ca  0.000  0.000  0.000
Pr  0.146  0.146  0.601
Pr  0.500  0.500  0.500
Pr  0.854  0.854  0.399
Dy  0.091  0.568  0.895
Dy  0.314  0.314  0.395
Dy  0.432  0.909  0.105
Dy  0.568  0.091  0.895
Dy  0.686  0.686  0.605
Dy  0.909  0.432  0.105

Computed properties:
Symmetry: C2/m, No. 12
Magnetic moment, μB/f.u.: 0.000
Energy, eV/atom: -4.160


(3)
Below is an optimized crystal structure of CaPr2Dy, with properties calculated at the GGA-PBE level.

Cell: 3.624 3.624 38.774 Å, 90.00 90.00 120.00°
Element x y z (fractional)
Ca  0.000  0.000  0.000
Ca  0.333  0.667  0.667
Ca  0.667  0.333  0.333
Pr  0.000  0.000  0.092
Pr  0.000  0.000  0.908
Pr  0.333  0.667  0.575
Pr  0.333  0.667  0.758
Pr  0.667  0.333  0.242
Pr  0.667  0.333  0.425
Dy  0.000  0.000  0.500
Dy  0.333  0.667  0.167
Dy  0.667  0.333  0.833

Computed properties:
Symmetry: R-3m, No. 166
Offset from the most stable computed form, meV per atom: 100
Magnetic moment, μB/f.u.: 0.000
Energy, eV/atom: -3.919


(4)
Below is an optimized crystal structure of Ca2Pr15Dy2, with properties calculated at the GGA-PBE level.

Cell: 9.059 9.059 9.059 Å, 80.96 80.96 80.96°
Element x y z (fractional)
Ca  0.170  0.170  0.170
Ca  0.830  0.830  0.830
Pr  0.000  0.500  0.500
Pr  0.136  0.136  0.647
Pr  0.136  0.647  0.136
Pr  0.206  0.500  0.794
Pr  0.206  0.794  0.500
Pr  0.353  0.864  0.864
Pr  0.500  0.000  0.500
Pr  0.500  0.206  0.794
Pr  0.500  0.500  0.000
Pr  0.500  0.794  0.206
Pr  0.647  0.136  0.136
Pr  0.794  0.206  0.500
Pr  0.794  0.500  0.206
Pr  0.864  0.353  0.864
Pr  0.864  0.864  0.353
Dy  0.406  0.406  0.406
Dy  0.594  0.594  0.594

Computed properties:
Symmetry: R-3m, No. 166
Magnetic moment, μB/f.u.: 0.000
Energy, eV/atom: -4.248


(5)
Below is an optimized crystal structure of CaPr2Dy, with properties calculated at the GGA-PBE level.

Cell: 12.191 3.696 6.394 Å, 90.00 90.00 90.00°
Element x y z (fractional)
Ca  0.000  0.000  0.000
Ca  0.000  0.500  0.500
Pr  0.264  0.000  0.666
Pr  0.264  0.500  0.166
Pr  0.736  0.000  0.666
Pr  0.736  0.500  0.166
Dy  0.500  0.000  0.331
Dy  0.500  0.500  0.831

Computed properties:
Symmetry: Amm2, No. 38
Offset from the most stable computed form, meV per atom: 0
Magnetic moment, μB/f.u.: 0.000
Energy, eV/atom: -4.019


(6)
Below is an optimized crystal structure of Ca2PrDy, with properties calculated at the GGA-PBE level.

Cell: 12.871 6.372 3.713 Å, 90.00 106.70 90.00°
Element x y z (fractional)
Ca  0.249  0.000  0.248
Ca  0.251  0.500  0.752
Ca  0.749  0.500  0.248
Ca  0.751  0.000  0.752
Pr  0.000  0.337  0.000
Pr  0.500  0.837  0.000
Dy  0.000  0.836  0.500
Dy  0.500  0.336  0.500

Computed properties:
Symmetry: C2, No. 5
Offset from the most stable computed form, meV per atom: 0
Magnetic moment, μB/f.u.: 0.010
Energy, eV/atom: -3.250


(7)
Below is an optimized crystal structure of CaPr4Dy, with properties calculated at the GGA-PBE level.

Cell: 6.846 6.846 6.846 Å, 60.00 60.00 60.00°
Element x y z (fractional)
Ca  0.000  0.000  0.000
Pr  0.130  0.623  0.623
Pr  0.623  0.130  0.623
Pr  0.623  0.623  0.130
Pr  0.623  0.623  0.623
Dy  0.250  0.250  0.250

Computed properties:
Symmetry: F-43m, No. 216
Offset from the most stable computed form, meV per atom: 182
Magnetic moment, μB/f.u.: 0.000
Energy, eV/atom: -4.070


(8)
Below is an optimized crystal structure of CaPrDy, with properties calculated at the GGA-PBE level.

Cell: 4.893 4.893 9.159 Å, 90.00 90.00 90.00°
Element x y z (fractional)
Ca  0.250  0.750  0.000
Ca  0.750  0.250  0.000
Pr  0.250  0.250  0.340
Pr  0.750  0.750  0.660
Dy  0.250  0.250  0.703
Dy  0.750  0.750  0.297

Computed properties:
Symmetry: P4/nmm, No. 129
Offset from the most stable computed form, meV per atom: 306
Magnetic moment, μB/f.u.: 0.001
Energy, eV/atom: -3.458